(1)
Compound: LuPu2Zr
Source: the Alexandria database
Functional: PBE
Structure: optimized geometry

## Properties
Excess energy over the best structure of this formula in the dataset ... 22 meV per atom
E_form ... 15.73 kJ per mole of atoms

Lattice parameters (Å, degrees): 4.7801 4.6175 4.6175 90.00 90.00 90.00
Closest atoms and distances in Å follow each position.
Sites, in units of the cell vectors:
Lu1 0.5000 0.0000 0.0000  4 Zr 3.27, 8 Pu 3.32
Zr1 0.5000 0.5000 0.5000  4 Lu 3.27, 8 Pu 3.32
Pu1 0.0000 0.0000 0.5000  4 Pu 3.27, 4 Lu 3.32, 4 Zr 3.32
Pu2 0.0000 0.5000 0.0000  4 Pu 3.27, 4 Zr 3.32, 4 Lu 3.32

(2)
Compound: Lu2PuZr
Source: the Alexandria database
Functional: PBE
Structure: optimized geometry

## Properties
Excess energy over the best structure of this formula in the dataset ... 0 meV per atom
E_form ... 12.94 kJ per mole of atoms

Lattice parameters (Å, degrees): 4.7939 4.7035 4.7035 90.00 90.00 90.00
Closest atoms and distances in Å follow each position.
Sites, in units of the cell vectors:
Lu1 0.0000 0.0000 0.5000  4 Lu 3.33, 4 Pu 3.36, 4 Zr 3.36
Lu2 0.0000 0.5000 0.0000  4 Lu 3.33, 4 Pu 3.36, 4 Zr 3.36
Zr1 0.5000 0.5000 0.5000  4 Pu 3.33, 8 Lu 3.36
Pu1 0.5000 0.0000 0.0000  4 Zr 3.33, 8 Lu 3.36

(3)
Compound: LuPuZr2
Source: the Alexandria database
Functional: PBE
Structure: optimized geometry

## Properties
Excess energy over the best structure of this formula in the dataset ... 51 meV per atom
E_form ... 15.88 kJ per mole of atoms

Lattice parameters (Å, degrees): 3.7917 3.7917 6.9174 90.00 90.00 90.00
Closest atoms and distances in Å follow each position.
Sites, in units of the cell vectors:
Lu1 0.5000 0.5000 0.5000  8 Zr 3.31, 2 Pu 3.46
Zr1 0.0000 0.0000 0.7799  1 Zr 3.04, 4 Pu 3.08, 4 Lu 3.31
Zr2 0.0000 0.0000 0.2201  1 Zr 3.04, 4 Pu 3.08, 4 Lu 3.31
Pu1 0.5000 0.5000 0.0000  8 Zr 3.08

(4)
Compound: Lu2PuZr
Source: the Alexandria database
Functional: PBE
Structure: optimized geometry

## Properties
Excess energy over the best structure of this formula in the dataset ... 76 meV per atom
E_form ... 20.28 kJ per mole of atoms

Lattice parameters (Å, degrees): 3.8860 3.8860 7.0466 90.00 90.00 90.00
Closest atoms and distances in Å follow each position.
Sites, in units of the cell vectors:
Lu1 0.0000 0.0000 0.2431  4 Zr 3.24, 4 Pu 3.29, 2 Lu 3.43-3.62
Lu2 0.0000 0.0000 0.7569  4 Zr 3.24, 4 Pu 3.29, 2 Lu 3.43-3.62
Zr1 0.5000 0.5000 0.0000  8 Lu 3.24, 2 Pu 3.52
Pu1 0.5000 0.5000 0.5000  8 Lu 3.29, 2 Zr 3.52

(5)
Compound: Lu2PuZr
Source: the Alexandria database
Functional: PBE
Structure: optimized geometry

## Properties
Excess energy over the best structure of this formula in the dataset ... 180 meV per atom
E_form ... 30.36 kJ per mole of atoms

Lattice parameters (Å, degrees): 3.2455 3.2455 11.9313 82.18 82.18 60.00
Closest atoms and distances in Å follow each position.
Sites, in units of the cell vectors:
Lu1 0.0882 0.0882 0.7355  1 Zr 3.12, 6 Lu 3.25, 3 Pu 3.35
Lu2 0.9118 0.9118 0.2645  1 Zr 3.12, 6 Lu 3.25, 3 Pu 3.35
Zr1 0.0000 0.0000 0.0000  2 Lu 3.12, 6 Zr 3.25
Pu1 0.5000 0.5000 0.5000  6 Pu 3.25, 6 Lu 3.35

(6)
Compound: LuPuZr2
Source: the Alexandria database
Functional: PBE
Structure: optimized geometry

## Properties
Excess energy over the best structure of this formula in the dataset ... 0 meV per atom
E_form ... 10.91 kJ per mole of atoms

Lattice parameters (Å, degrees): 4.5919 4.6487 4.6487 90.00 90.00 90.00
Closest atoms and distances in Å follow each position.
Sites, in units of the cell vectors:
Lu1 0.5000 0.5000 0.5000  8 Zr 3.27, 4 Pu 3.29
Zr1 0.0000 0.0000 0.5000  4 Pu 3.27, 4 Lu 3.27, 4 Zr 3.29
Zr2 0.0000 0.5000 0.0000  4 Pu 3.27, 4 Lu 3.27, 4 Zr 3.29
Pu1 0.5000 0.0000 0.0000  8 Zr 3.27, 4 Lu 3.29

(7)
Compound: Rb3Lu
Source: the Alexandria database
Functional: PBE
Structure: optimized geometry

## Properties
E_form ... 59.74 kJ per mole of atoms

Lattice parameters (Å, degrees): 6.3622 6.3622 6.3622 90.00 90.00 90.00
Closest atoms and distances in Å follow each position.
Sites, in units of the cell vectors:
Rb1 0.0000 0.5000 0.5000  8 Rb 4.50, 4 Lu 4.50
Rb2 0.5000 0.0000 0.5000  8 Rb 4.50, 4 Lu 4.50
Rb3 0.5000 0.5000 0.0000  8 Rb 4.50, 4 Lu 4.50
Lu1 0.0000 0.0000 0.0000  12 Rb 4.50

(8)
Compound: RbLuS2
Source: the Alexandria database
Functional: PBE
Structure: optimized geometry

## Properties
Formation energy (no corrections) ... -1841.8 meV/atom

Lattice parameters (Å, degrees): 8.0043 8.0043 8.0043 28.93 28.93 28.93
Closest atoms and distances in Å follow each position.
Sites, in units of the cell vectors:
S1 0.7705 0.7705 0.7705  3 Lu 2.72
S2 0.2295 0.2295 0.2295  3 Lu 2.72
Lu1 0.5000 0.5000 0.5000  6 S 2.72
Rb1 0.0000 0.0000 0.0000  6 S 3.32

M_tot values, unit μB/atom, following the record order: 2.8116; 1.3766; 1.3486; 1.5127; 1.3444; 1.4181; 0.0523; 0.0000.
Calculated total energy values, unit eV per atom, following the record order: -10.2703; -7.8464; -8.8228; -7.7703; -7.6659; -8.8743; -1.2367; -5.2777.